First-principles (meta-GGA SCAN) data for LaMn3Ir at its PBEsol-relaxed geometry, as listed in the Alexandria database.

Calculated values
As for the crystal system: cubic. The calculation puts the total energy at -31.91 eV per atom.

The structure in extended XYZ format:
```
5
Lattice="4.373 0.000 0.000 0.000 4.373 0.000 0.000 0.000 4.373" Properties=species:S:1:pos:R:3 pbc="T T T"
La 0.000 0.000 0.000
Mn 0.000 0.000 2.186
Mn 0.000 2.186 0.000
Mn 2.186 0.000 0.000
Ir 2.186 2.186 2.186
```

---

First-principles (meta-GGA SCAN) data for LaMo4Ir at its PBEsol-relaxed geometry, as listed in the Alexandria database.

Calculated values
As for the crystal system: cubic. The calculation puts the total energy at -41.80 eV per atom.

The structure in extended XYZ format:
```
6
Lattice="0.000 3.757 3.757 3.757 0.000 3.757 3.757 3.757 0.000" Properties=species:S:1:pos:R:3 pbc="T T T"
La 0.000 0.000 0.000
Mo 2.813 2.813 2.813
Mo 4.700 4.700 2.813
Mo 4.700 2.813 4.700
Mo 2.813 4.700 4.700
Ir 5.635 5.635 5.635
```

---

First-principles (meta-GGA SCAN) data for LaMoIr2 at its PBEsol-relaxed geometry, as listed in the Alexandria database.

Calculated values
As for the crystal system: tetragonal. The calculation puts the polymorph energy (0 for the lowest one) at 433 meV per atom.

The structure in extended XYZ format:
```
4
Lattice="3.240 0.000 0.000 0.000 3.240 0.000 0.000 0.000 7.122" Properties=species:S:1:pos:R:3 pbc="T T T"
La 0.000 0.000 0.000
Mo 1.620 1.620 2.440
Ir 0.000 0.000 3.546
Ir 1.620 1.620 5.162
```

---

First-principles (meta-GGA SCAN) data for La2MoIr at its PBEsol-relaxed geometry, as listed in the Alexandria database.

Calculated values
As for the crystal system: tetragonal. The calculation puts the polymorph energy (0 for the lowest one) at 207 meV per atom.

The structure in extended XYZ format:
```
4
Lattice="3.130 0.000 0.000 0.000 3.130 0.000 0.000 0.000 9.377" Properties=species:S:1:pos:R:3 pbc="T T T"
La 0.000 0.000 0.000
La 1.565 1.565 3.450
Mo 0.000 0.000 5.740
Ir 1.565 1.565 7.099
```

---

First-principles (meta-GGA SCAN) data for La2MoIr at its PBEsol-relaxed geometry, as listed in the Alexandria database.

Calculated values
As for the crystal system: trigonal. The calculation puts the polymorph energy (0 for the lowest one) at 0 meV per atom.

The structure in extended XYZ format:
```
4
Lattice="2.086 1.204 7.560 -2.086 1.204 7.560 0.000 -2.409 7.560" Properties=species:S:1:pos:R:3 pbc="T T T"
La 0.000 0.000 0.000
La 0.000 0.000 4.156
Mo 0.000 0.000 16.926
Ir 0.000 0.000 9.935
```

---

First-principles (meta-GGA SCAN) data for La2MoIr at its PBEsol-relaxed geometry, as listed in the Alexandria database.

Calculated values
As for the crystal system: cubic. The calculation puts the polymorph energy (0 for the lowest one) at 399 meV per atom.

The structure in extended XYZ format:
```
4
Lattice="0.000 3.532 3.532 3.532 0.000 3.532 3.532 3.532 0.000" Properties=species:S:1:pos:R:3 pbc="T T T"
La 1.766 1.766 1.766
La 5.298 5.298 5.298
Mo 0.000 0.000 0.000
Ir 3.532 3.532 3.532
```

---

First-principles (meta-GGA SCAN) data for LaMoIr2 at its PBEsol-relaxed geometry, as listed in the Alexandria database.

Calculated values
As for the crystal system: tetragonal. The calculation puts the polymorph energy (0 for the lowest one) at 0 meV per atom.

The structure in extended XYZ format:
```
4
Lattice="2.950 0.000 0.000 0.000 2.950 0.000 0.000 0.000 8.009" Properties=species:S:1:pos:R:3 pbc="T T T"
La 0.000 0.000 0.000
Mo 0.000 0.000 4.005
Ir 1.475 1.475 2.334
Ir 1.475 1.475 5.675
```

---

First-principles (meta-GGA SCAN) data for LaMoIr2 at its PBEsol-relaxed geometry, as listed in the Alexandria database.

Calculated values
As for the crystal system: monoclinic. The calculation puts the polymorph energy (0 for the lowest one) at 287 meV per atom.

The structure in extended XYZ format:
```
4
Lattice="4.801 -1.464 0.000 4.801 1.464 0.000 -0.675 0.000 5.138" Properties=species:S:1:pos:R:3 pbc="T T T"
La 0.000 0.000 0.000
Mo 1.601 0.000 3.298
Ir 4.324 0.000 2.607
Ir 7.123 0.000 1.254
```